HoErNCl3 | GGA-PBE | optimized geometry

Distance to the lowest polymorph of the same formula, eV per atom: 0.005

Structure (POSCAR):
```
HoErNCl3
1.0
8.2774 -1.8961 0.0000
8.2774 1.8961 0.0000
-5.8384 0.0000 9.0598
Ho Er N Cl
2 2 2 6
Direct
0.0824 0.0824 0.4564
0.9176 0.9176 0.5436
0.3621 0.3621 0.2076
0.6379 0.6379 0.7924
0.0770 0.0770 0.6577
0.9230 0.9230 0.3423
0.1676 0.1676 0.0125
0.2807 0.2807 0.3843
0.4577 0.4577 0.7517
0.5423 0.5423 0.2483
0.7193 0.7193 0.6157
0.8324 0.8324 0.9875
```

Nb2GeIr | GGA-PBE | optimized geometry

Raw total energy, eV/atom: -8.506

Structure (POSCAR):
```
Nb2GeIr
1.0
0.0000 3.1978 3.1978
3.1978 0.0000 3.1978
3.1978 3.1978 0.0000
Nb Ge Ir
2 1 1
Direct
0.0000 0.0000 0.0000
0.2500 0.2500 0.2500
0.5000 0.5000 0.5000
0.7500 0.7500 0.7500
```

LaYAg2Bi4 | GGA-PBE | optimized geometry

Raw total energy, eV/atom: -4.685

Structure (POSCAR):
```
LaYAg2Bi4
1.0
4.5863 0.0000 0.0000
0.0000 4.5863 0.0000
0.0000 0.0000 10.4349
La Y Ag Bi
1 1 2 4
Direct
0.0000 0.0000 0.0000
0.5000 0.5000 0.4976
0.0000 0.5000 0.7415
0.5000 0.0000 0.7415
0.0000 0.0000 0.5579
0.0000 0.5000 0.2548
0.5000 0.0000 0.2548
0.5000 0.5000 0.9288
```

ErLu2In | GGA-PBE | optimized geometry

Raw total energy, eV/atom: -4.338

Structure (POSCAR):
```
ErLu2In
1.0
4.7551 0.0000 0.0000
0.0000 4.7551 0.0000
0.0000 0.0000 4.7500
Er Lu In
1 2 1
Direct
0.0000 0.0000 0.0000
0.0000 0.5000 0.5000
0.5000 0.0000 0.5000
0.5000 0.5000 0.0000
```

NdFeSi | GGA-PBE | optimized geometry

Raw total energy, eV/atom: -6.740

Structure (POSCAR):
```
NdFeSi
1.0
4.0540 0.0000 0.0000
0.0000 4.0540 0.0000
0.0000 0.0000 6.9068
Nd Fe Si
2 2 2
Direct
0.0000 0.0000 0.0000
0.5000 0.5000 0.3660
0.0000 0.5000 0.6846
0.5000 0.0000 0.6846
0.0000 0.0000 0.5210
0.5000 0.5000 0.8484
```

CdGeTeO | GGA-PBE | optimized geometry

Distance to the lowest polymorph of the same formula, eV per atom: 0.232

Structure (POSCAR):
```
CdGeTeO
1.0
4.3323 0.0000 0.0000
0.0000 4.3323 0.0000
0.0000 0.0000 9.5797
Cd Ge Te O
2 2 2 2
Direct
0.2500 0.2500 0.0528
0.7500 0.7500 0.9472
0.2500 0.2500 0.6547
0.7500 0.7500 0.3453
0.2500 0.2500 0.3676
0.7500 0.7500 0.6324
0.2500 0.7500 0.0000
0.7500 0.2500 0.0000
```

Er7Ag2Te2 | GGA-PBE | optimized geometry

Raw total energy, eV/atom: -4.563

Structure (POSCAR):
```
Er7Ag2Te2
1.0
-2.0213 7.7415 4.7982
2.0213 -7.7415 4.7982
2.0213 7.7415 -4.7982
Er Ag Te
7 2 2
Direct
0.0000 0.0000 0.0000
0.2876 0.4124 0.8752
0.3068 0.6237 0.6831
0.5371 0.4124 0.1248
0.6160 0.2556 0.3604
0.8953 0.2556 0.6396
0.9406 0.6237 0.3169
0.1610 0.9252 0.2358
0.6894 0.9252 0.7642
0.2624 0.7624 0.5000
0.6612 0.6612 0.0000
```

CoB2Mo2 | GGA-PBE | optimized geometry

Raw total energy, eV/atom: -8.920

Structure (POSCAR):
```
CoB2Mo2
1.0
-1.5843 2.2854 3.5598
1.5843 -2.2854 3.5598
1.5843 2.2854 -3.5598
Co B Mo
1 2 2
Direct
0.0000 0.0000 0.0000
0.2962 0.5000 0.7962
0.7038 0.5000 0.2038
0.2998 0.7998 0.5000
0.7002 0.2002 0.5000
```

Hf5Au2 | GGA-PBE | optimized geometry

E_form, eV/atom: -0.21

Structure (POSCAR):
```
Hf5Au2
1.0
2.4264 1.4009 6.9811
-2.4264 1.4009 6.9811
0.0000 -2.8018 6.9811
Hf Au
5 2
Direct
0.0000 0.0000 0.0000
0.1486 0.1486 0.1486
0.4257 0.4257 0.4257
0.5743 0.5743 0.5743
0.8514 0.8514 0.8514
0.2805 0.2805 0.2805
0.7195 0.7195 0.7195
```

Li3Ta3Al2O12 | GGA-PBE | optimized geometry

Raw total energy, eV/atom: -7.963

Structure (POSCAR):
```
Li3Ta3Al2O12
1.0
-5.6803 5.6803 5.6803
5.6803 -5.6803 5.6803
5.6803 5.6803 -5.6803
Li Ta Al O
12 12 8 48
Direct
0.1250 0.7500 0.8750
0.1250 0.8750 0.2500
0.2500 0.1250 0.8750
0.2500 0.6250 0.3750
0.3750 0.2500 0.6250
0.3750 0.6250 0.7500
0.6250 0.3750 0.2500
0.6250 0.7500 0.3750
0.7500 0.3750 0.6250
0.7500 0.8750 0.1250
0.8750 0.1250 0.7500
0.8750 0.2500 0.1250
0.1250 0.2500 0.3750
0.1250 0.3750 0.7500
0.2500 0.3750 0.1250
0.2500 0.8750 0.6250
0.3750 0.1250 0.2500
0.3750 0.7500 0.1250
0.6250 0.2500 0.8750
0.6250 0.8750 0.7500
0.7500 0.1250 0.3750
0.7500 0.6250 0.8750
0.8750 0.6250 0.2500
0.8750 0.7500 0.6250
0.0000 0.0000 0.0000
0.0000 0.0000 0.5000
0.0000 0.5000 0.0000
0.0000 0.5000 0.5000
0.5000 0.0000 0.0000
0.5000 0.0000 0.5000
0.5000 0.5000 0.0000
0.5000 0.5000 0.5000
0.0424 0.2170 0.1285
0.0424 0.3253 0.9139
0.0861 0.6285 0.4115
0.0861 0.9576 0.6747
0.0885 0.7170 0.6747
0.0885 0.8715 0.4139
0.1285 0.0424 0.2170
0.1285 0.5861 0.9115
0.1747 0.2170 0.5885
0.1747 0.4576 0.5861
0.2170 0.1285 0.0424
0.2170 0.5885 0.1747
0.2830 0.3253 0.9115
0.2830 0.4576 0.3715
0.3253 0.9115 0.2830
0.3253 0.9139 0.0424
0.3715 0.2830 0.4576
0.3715 0.5885 0.9139
0.4115 0.0861 0.6285
0.4115 0.8253 0.7830
0.4139 0.0885 0.8715
0.4139 0.8253 0.5424
0.4576 0.3715 0.2830
0.4576 0.5861 0.1747
0.5424 0.4139 0.8253
0.5424 0.6285 0.7170
0.5861 0.1747 0.4576
0.5861 0.9115 0.1285
0.5885 0.1747 0.2170
0.5885 0.9139 0.3715
0.6285 0.4115 0.0861
0.6285 0.7170 0.5424
0.6747 0.0861 0.9576
0.6747 0.0885 0.7170
0.7170 0.5424 0.6285
0.7170 0.6747 0.0885
0.7830 0.4115 0.8253
0.7830 0.8715 0.9576
0.8253 0.5424 0.4139
0.8253 0.7830 0.4115
0.8715 0.4139 0.0885
0.8715 0.9576 0.7830
0.9115 0.1285 0.5861
0.9115 0.2830 0.3253
0.9139 0.0424 0.3253
0.9139 0.3715 0.5885
0.9576 0.6747 0.0861
0.9576 0.7830 0.8715
```

CoTcAgPb | GGA-PBE | optimized geometry

Distance to the lowest polymorph of the same formula, eV per atom: 0.000

Structure (POSCAR):
```
CoTcAgPb
1.0
0.0000 3.2210 3.2210
3.2210 0.0000 3.2210
3.2210 3.2210 0.0000
Co Tc Ag Pb
1 1 1 1
Direct
0.0000 0.0000 0.0000
0.5000 0.5000 0.5000
0.2500 0.2500 0.2500
0.7500 0.7500 0.7500
```

TcS | GGA-PBE | optimized geometry

Distance to the lowest polymorph of the same formula, eV per atom: 0.113

Structure (POSCAR):
```
TcS
1.0
2.9616 0.0000 0.0000
-1.4808 2.5648 0.0000
0.0000 0.0000 7.2337
Tc S
2 2
Direct
0.3333 0.6667 0.2500
0.6667 0.3333 0.7500
0.0000 0.0000 0.0000
0.0000 0.0000 0.5000
```